{"formula": "CdRhPb2", "functional": "GGA-PBE", "state": "optimized geometry", "lattice_angstrom": [[3.310, 0.000, 0.000], [0.000, 3.310, 0.000], [0.000, 0.000, 8.713]], "species": ["Pb", "Cd", "Pb", "Rh"], "fractional_positions": [[0.000, 0.000, 0.975], [0.500, 0.500, 0.697], [0.500, 0.500, 0.316], [0.000, 0.000, 0.512]]}

=====

{"formula": "Cd2RhPb", "functional": "GGA-PBE", "state": "optimized geometry", "lattice_angstrom": [[-2.916, 2.594, -1.992], [-2.559, -1.580, 1.689], [-0.902, 2.907, 5.106]], "species": ["Cd", "Cd", "Pb", "Rh"], "fractional_positions": [[0.500, 0.213, 0.194], [0.000, 0.801, 0.025], [0.000, 0.538, 0.559], [0.500, 0.948, 0.722]]}

=====

{"formula": "Cd2RhPb", "functional": "GGA-PBE", "state": "optimized geometry", "lattice_angstrom": [[9.621, -1.627, 0.018], [9.621, 1.627, 0.018], [9.341, 0.000, 2.822]], "species": ["Cd", "Rh", "Pb", "Cd"], "fractional_positions": [[0.747, 0.747, 0.747], [0.251, 0.251, 0.251], [0.512, 0.512, 0.512], [0.989, 0.989, 0.989]]}

=====

{"formula": "Cd2RhPb", "functional": "GGA-PBE", "state": "optimized geometry", "lattice_angstrom": [[4.203, 0.000, 0.000], [0.000, 4.203, 0.000], [0.000, 0.000, 4.676]], "species": ["Cd", "Rh", "Pb", "Cd"], "fractional_positions": [[0.000, 0.500, 0.000], [0.000, 0.000, 0.500], [0.500, 0.500, 0.500], [0.500, 0.000, 0.000]]}

=====

{"formula": "Cd3Rh2Pb2", "functional": "GGA-PBE", "state": "optimized geometry", "lattice_angstrom": [[-0.440, -3.311, 0.045], [2.806, 1.292, 5.990], [-7.260, 2.699, 0.296]], "species": ["Cd", "Cd", "Rh", "Cd", "Pb", "Pb", "Rh"], "fractional_positions": [[0.793, 0.168, 0.426], [0.500, 0.000, 0.000], [0.983, 0.179, 0.798], [0.207, 0.832, 0.574], [0.655, 0.528, 0.804], [0.345, 0.472, 0.196], [0.017, 0.821, 0.202]]}

=====

{"formula": "CdRhPb2", "functional": "GGA-PBE", "state": "optimized geometry", "lattice_angstrom": [[-2.363, 2.363, 4.115], [2.363, -2.363, 4.115], [2.363, 2.363, -4.115]], "species": ["Pb", "Pb", "Cd", "Rh"], "fractional_positions": [[0.250, 0.750, 0.500], [0.750, 0.250, 0.500], [0.000, 0.000, 0.000], [0.500, 0.500, 0.000]]}

=====

{"formula": "Cd2RhPb", "functional": "GGA-PBE", "state": "optimized geometry", "lattice_angstrom": [[-2.176, 2.176, 4.336], [2.176, -2.176, 4.336], [2.176, 2.176, -4.336]], "species": ["Rh", "Cd", "Cd", "Pb"], "fractional_positions": [[0.750, 0.250, 0.500], [0.000, 0.000, 0.000], [0.250, 0.750, 0.500], [0.500, 0.500, 0.000]]}

=====

{"formula": "CdRhPb2", "functional": "GGA-PBE", "state": "optimized geometry", "lattice_angstrom": [[3.387, 0.000, 0.000], [0.000, 3.387, 0.000], [0.000, 0.000, 8.363]], "species": ["Rh", "Pb", "Cd", "Pb"], "fractional_positions": [[0.500, 0.500, 0.000], [0.000, 0.000, 0.204], [0.500, 0.500, 0.500], [0.000, 0.000, 0.796]]}

=====

{"formula": "Cd2RhPb", "functional": "GGA-PBE", "state": "optimized geometry", "lattice_angstrom": [[2.870, -4.348, 0.000], [2.870, 4.348, 0.000], [0.000, 0.000, 3.359]], "species": ["Cd", "Cd", "Pb", "Rh"], "fractional_positions": [[0.500, 0.000, 0.000], [0.000, 0.500, 0.000], [0.000, 0.000, 0.500], [0.500, 0.500, 0.500]]}

=====

{"formula": "CdRhPb2", "functional": "GGA-PBE", "state": "optimized geometry", "lattice_angstrom": [[-7.586, -0.651, 5.334], [-6.244, -3.891, 5.682], [-5.049, -1.263, 7.703]], "species": ["Rh", "Pb", "Cd", "Pb"], "fractional_positions": [[0.500, 0.500, 0.500], [0.763, 0.763, 0.763], [0.000, 0.000, 0.000], [0.237, 0.237, 0.237]]}

=====

{"formula": "Cd2Rh2Pb", "functional": "GGA-PBE", "state": "optimized geometry", "lattice_angstrom": [[-0.127, 3.730, 1.610], [-3.983, 0.201, -0.781], [-3.287, -0.513, 6.059]], "species": ["Rh", "Cd", "Rh", "Pb", "Cd"], "fractional_positions": [[0.399, 0.399, 0.202], [0.750, 0.250, 0.500], [0.601, 0.601, 0.798], [0.000, 0.000, 0.000], [0.250, 0.750, 0.500]], "de_polymorph_mev_per_atom": 215}

=====

{"formula": "CdRh4Pb", "functional": "GGA-PBE", "state": "optimized geometry", "lattice_angstrom": [[0.000, 3.747, 3.747], [3.747, 0.000, 3.747], [3.747, 3.747, 0.000]], "species": ["Pb", "Rh", "Rh", "Cd", "Rh", "Rh"], "fractional_positions": [[0.000, 0.000, 0.000], [0.375, 0.875, 0.375], [0.875, 0.375, 0.375], [0.750, 0.750, 0.750], [0.375, 0.375, 0.875], [0.375, 0.375, 0.375]]}

=====

{"formula": "CdRhPb2", "functional": "GGA-PBE", "state": "optimized geometry", "lattice_angstrom": [[0.000, 3.597, 3.597], [3.597, 0.000, 3.597], [3.597, 3.597, 0.000]], "species": ["Cd", "Rh", "Pb", "Pb"], "fractional_positions": [[0.500, 0.500, 0.500], [0.250, 0.250, 0.250], [0.750, 0.750, 0.750], [0.000, 0.000, 0.000]]}

=====

{"formula": "CdRhPb2", "functional": "GGA-PBE", "state": "optimized geometry", "lattice_angstrom": [[4.875, 0.000, 0.000], [0.000, 4.875, 0.000], [0.000, 0.000, 3.863]], "species": ["Pb", "Rh", "Cd", "Pb"], "fractional_positions": [[0.000, 0.500, 0.000], [0.500, 0.500, 0.500], [0.000, 0.000, 0.500], [0.500, 0.000, 0.000]]}

=====

{"formula": "Cd2RhPb", "functional": "GGA-PBE", "state": "optimized geometry", "lattice_angstrom": [[-2.151, 4.331, 4.462], [-0.904, 6.491, -0.585], [-1.164, -6.222, -1.796]], "species": ["Rh", "Cd", "Cd", "Pb"], "fractional_positions": [[0.500, 0.000, 0.500], [0.702, 0.702, 0.000], [0.298, 0.298, 0.000], [0.000, 0.500, 0.500]]}

=====

{"formula": "CdRhPb2", "functional": "GGA-PBE", "state": "optimized geometry", "lattice_angstrom": [[-6.151, 1.833, -3.380], [-2.373, -0.615, -6.827], [2.569, -2.551, 6.286]], "species": ["Cd", "Rh", "Pb", "Pb"], "fractional_positions": [[0.250, 0.750, 0.500], [0.750, 0.250, 0.500], [0.573, 0.573, 0.000], [0.927, 0.927, 0.000]]}

=====

{"formula": "Cd2RhPb", "functional": "GGA-PBE", "state": "optimized geometry", "lattice_angstrom": [[-1.780, -5.036, -1.203], [-5.289, -0.812, 1.158], [2.793, 3.842, -2.724]], "species": ["Cd", "Pb", "Rh", "Cd"], "fractional_positions": [[0.250, 0.750, 0.500], [0.500, 0.500, 0.000], [0.000, 0.000, 0.000], [0.750, 0.250, 0.500]]}

=====

{"formula": "Cd2RhPb", "functional": "GGA-PBE", "state": "optimized geometry", "lattice_angstrom": [[2.763, -3.625, 1.794], [-1.023, -4.652, -1.139], [2.981, -2.506, -2.970]], "species": ["Pb", "Cd", "Rh", "Cd"], "fractional_positions": [[0.500, 0.500, 0.500], [0.000, 0.000, 0.000], [0.250, 0.250, 0.250], [0.750, 0.750, 0.750]]}

=====

{"formula": "Cd2RhPb", "functional": "GGA-PBE", "state": "optimized geometry", "lattice_angstrom": [[-1.737, -4.484, -0.511], [3.063, -1.110, -0.669], [2.096, -1.377, 4.959]], "species": ["Rh", "Pb", "Cd", "Cd"], "fractional_positions": [[0.500, 0.500, 0.500], [0.500, 0.500, 0.000], [0.000, 0.132, 0.723], [0.000, 0.868, 0.277]]}

=====

{"formula": "CdRhPb2", "functional": "GGA-PBE", "state": "optimized geometry", "lattice_angstrom": [[-4.967, 0.041, -1.801], [-3.472, -2.556, -3.054], [-4.090, -4.150, 3.724]], "species": ["Rh", "Pb", "Cd", "Pb"], "fractional_positions": [[0.538, 0.538, 0.628], [0.163, 0.163, 0.275], [0.812, 0.812, 0.623], [0.987, 0.987, 0.975]]}

=====

| no. | total energy (eV/atom) | spin magnetization (μB per cell) |
| --- | --- | --- |
| 1 | -3.91 | 0.00 |
| 2 | -3.18 | 0.00 |
| 3 | -3.15 | 0.00 |
| 4 | -3.13 | 0.00 |
| 5 | -3.57 | 0.00 |
| 6 | -3.75 | 0.00 |
| 7 | -3.16 | 0.00 |
| 8 | -3.91 | 0.00 |
| 9 | -3.09 | 0.00 |
| 10 | -3.87 | 0.00 |
| 11 | -3.89 | 0.00 |
| 12 | -5.52 | 0.00 |
| 13 | -3.64 | 0.00 |
| 14 | -3.73 | 0.00 |
| 15 | -3.22 | 0.00 |
| 16 | -3.94 | 0.00 |
| 17 | -3.18 | 0.00 |
| 18 | -3.10 | 0.00 |
| 19 | -3.14 | 0.00 |
| 20 | -3.90 | 0.00 |